VASP calculation (PBE with a Hubbard U) on a geometry-optimized Tm2Tl2VO6 structure.

## Properties
Symmetry: No. 12
Energy (eV per atom): -6.912

abc: 5.689 5.689 6.760
angles: 96.94 96.94 120.20
Fractional coordinates of all 11 atoms:
Tm  0.167  0.833  0.000
Tm  0.833  0.167  0.000
Tl  0.336  0.664  0.500
Tl  0.664  0.336  0.500
V  0.500  0.500  0.000
O  0.145  0.455  0.839
O  0.255  0.255  0.158
O  0.455  0.145  0.839
O  0.545  0.855  0.161
O  0.745  0.745  0.842
O  0.855  0.545  0.161